Density functional theory data (GGA-PBEsol) for a relaxed Er3Ga2 crystal.

- Energy of formation: -0.57 eV per atom

Cell and atoms, written as CIF:
```
data_Er3Ga2
_chemical_formula_sum 'Er48 Ga32'
_space_group_name_H-M_alt 'I 4/m c m'
_space_group_IT_number 140
_space_group_name_Hall '-I 4 2c'
_cell_length_a 11.3142
_cell_length_b 11.3142
_cell_length_c 14.5223
_cell_angle_alpha 90.00
_cell_angle_beta 90.00
_cell_angle_gamma 90.00
loop_
_atom_site_label
_atom_site_type_symbol
_atom_site_fract_x
_atom_site_fract_y
_atom_site_fract_z
_atom_site_occupancy
Er1 Er 0.0000 0.5000 0.1470 1
Er2 Er 0.0667 0.2024 0.1352 1
Er3 Er 0.1692 0.3308 0.5000 1
Ga1 Ga 0.0000 0.0000 0.0000 1
Ga2 Ga 0.0000 0.0000 0.2500 1
Ga3 Ga 0.1175 0.3825 0.0000 1
Ga4 Ga 0.1773 0.3227 0.2982 1
```

***

Density functional theory data (GGA-PBEsol) for a relaxed TaAsP crystal.

- Energy of formation: 0.25 eV per atom

Cell and atoms, written as CIF:
```
data_TaAsP
_chemical_formula_sum 'Ta4 As4 P4'
_space_group_name_H-M_alt 'F -4 3 m'
_space_group_IT_number 216
_space_group_name_Hall 'F -4 2 3'
_cell_length_a 5.9432
_cell_length_b 5.9432
_cell_length_c 5.9432
_cell_angle_alpha 90.00
_cell_angle_beta 90.00
_cell_angle_gamma 90.00
loop_
_atom_site_label
_atom_site_type_symbol
_atom_site_fract_x
_atom_site_fract_y
_atom_site_fract_z
_atom_site_occupancy
Ta1 Ta 0.0000 0.0000 0.0000 1
As1 As 0.0000 0.0000 0.5000 1
P1 P 0.2500 0.2500 0.2500 1
```

***

Density functional theory data (GGA-PBEsol) for a relaxed BeAg2Ru crystal.

- Energy of formation: 0.33 eV per atom

Cell and atoms, written as CIF:
```
data_BeAg2Ru
_chemical_formula_sum 'Be2 Ag4 Ru2'
_space_group_name_H-M_alt 'C 1 m 1'
_space_group_IT_number 8
_cell_length_a 9.4887
_cell_length_b 2.6716
_cell_length_c 4.7066
_cell_angle_alpha 90.00
_cell_angle_beta 112.55
_cell_angle_gamma 90.00
loop_
_space_group_symop_operation_xyz
'x,y,z'
'x,-y,z'
'x+1/2,y+1/2,z'
'x+1/2,-y+1/2,z'
loop_
_atom_site_label
_atom_site_type_symbol
_atom_site_fract_x
_atom_site_fract_y
_atom_site_fract_z
_atom_site_occupancy
Be1 Be 0.0000 0.0000 0.0000 1
Ag1 Ag 0.0020 0.5000 0.4579 1
Ag2 Ag 0.2797 0.0000 0.6850 1
Ru1 Ru 0.2165 0.5000 0.1300 1
```

***

Among the records above, which one has the lowest energy of formation?
Er3Ga2

***

Repeat the second record exactly.
Density functional theory data (GGA-PBEsol) for a relaxed TaAsP crystal.

- Energy of formation: 0.25 eV per atom

Cell and atoms, written as CIF:
```
data_TaAsP
_chemical_formula_sum 'Ta4 As4 P4'
_space_group_name_H-M_alt 'F -4 3 m'
_space_group_IT_number 216
_space_group_name_Hall 'F -4 2 3'
_cell_length_a 5.9432
_cell_length_b 5.9432
_cell_length_c 5.9432
_cell_angle_alpha 90.00
_cell_angle_beta 90.00
_cell_angle_gamma 90.00
loop_
_atom_site_label
_atom_site_type_symbol
_atom_site_fract_x
_atom_site_fract_y
_atom_site_fract_z
_atom_site_occupancy
Ta1 Ta 0.0000 0.0000 0.0000 1
As1 As 0.0000 0.0000 0.5000 1
P1 P 0.2500 0.2500 0.2500 1
```